(1)
ReNi3Te: relaxed, PBE.

abc: 4.553 4.553 4.553
angles: 90.00 90.00 90.00
Sites, in units of the cell vectors:
Re 0.000 0.000 0.000
Ni 0.000 0.000 0.500
Ni 0.000 0.500 0.000
Ni 0.500 0.000 0.000
Te 0.500 0.500 0.500

Calculated values
**Energy**: -0.3944 Ry per atom
**ΔE to the lowest computed polymorph**: 0.000 eV per atom
**Formation energy without anion corrections**: 1221.2 meV/atom
**SG**: Pm-3m

***

(2)
Ba8Si2Sn: relaxed, PBE.

abc: 12.289 12.289 12.289
angles: 158.08 130.50 54.75
Sites, in units of the cell vectors:
Ba 0.133 0.133 0.000
Ba 0.142 0.320 0.822
Ba 0.271 0.000 0.271
Ba 0.498 0.320 0.178
Ba 0.502 0.680 0.822
Ba 0.729 0.000 0.729
Ba 0.858 0.680 0.178
Ba 0.867 0.867 0.000
Si 0.248 0.748 0.500
Si 0.752 0.252 0.500
Sn 0.000 0.500 0.500

Calculated values
**Energy**: -0.2182 Ry per atom
**Formation energy without anion corrections**: -220.2 meV/atom
**SG**: Immm

***

(3)
CuTc2Ir: relaxed, PBE.

abc: 6.108 6.108 6.108
angles: 90.00 90.00 90.00
Sites, in units of the cell vectors:
Cu 0.000 0.000 0.000
Cu 0.000 0.500 0.500
Cu 0.500 0.000 0.500
Cu 0.500 0.500 0.000
Tc 0.250 0.250 0.250
Tc 0.250 0.250 0.750
Tc 0.250 0.750 0.250
Tc 0.250 0.750 0.750
Tc 0.750 0.250 0.250
Tc 0.750 0.250 0.750
Tc 0.750 0.750 0.250
Tc 0.750 0.750 0.750
Ir 0.000 0.000 0.500
Ir 0.000 0.500 0.000
Ir 0.500 0.000 0.000
Ir 0.500 0.500 0.500

Calculated values
**Energy**: -0.5898 Ry per atom
**DFT formation energy**: 0.398 eV per atom
**ΔE to the lowest computed polymorph**: 0.356 eV per atom
**SG**: Fm-3m

***

(4)
La3Nd2Bi4: relaxed, PBE.

abc: 8.304 8.304 10.827
angles: 130.18 130.18 34.28
Sites, in units of the cell vectors:
La 0.000 0.000 0.000
La 0.348 0.348 0.272
La 0.652 0.652 0.728
Nd 0.351 0.351 0.666
Nd 0.649 0.649 0.334
Bi 0.062 0.062 0.412
Bi 0.344 0.344 0.963
Bi 0.656 0.656 0.037
Bi 0.938 0.938 0.588

Calculated values
**Energy**: -0.3842 Ry per atom
**DFT formation energy**: -0.801 eV per atom
**SG**: C2/m

***

(5)
Cs3Nb2AsSe11: relaxed, PBE.

abc: 10.615 10.615 10.412
angles: 94.86 94.86 85.48
Sites, in units of the cell vectors:
Cs 0.070 0.930 0.500
Cs 0.308 0.470 0.739
Cs 0.470 0.308 0.239
Cs 0.673 0.823 0.336
Cs 0.823 0.673 0.836
Cs 0.930 0.070 0.000
Nb 0.034 0.571 0.229
Nb 0.318 0.922 0.913
Nb 0.571 0.034 0.729
Nb 0.922 0.318 0.413
As 0.365 0.707 0.171
As 0.707 0.365 0.671
Se 0.004 0.577 0.479
Se 0.102 0.301 0.254
Se 0.139 0.809 0.834
Se 0.160 0.248 0.471
Se 0.213 0.603 0.413
Se 0.223 0.552 0.073
Se 0.248 0.160 0.971
Se 0.278 0.922 0.162
Se 0.301 0.102 0.754
Se 0.421 0.945 0.533
Se 0.458 0.815 0.714
Se 0.489 0.730 0.984
Se 0.552 0.223 0.573
Se 0.577 0.004 0.979
Se 0.603 0.213 0.913
Se 0.730 0.489 0.484
Se 0.776 0.954 0.673
Se 0.809 0.139 0.334
Se 0.815 0.458 0.214
Se 0.922 0.278 0.662
Se 0.945 0.421 0.033
Se 0.954 0.776 0.173

Calculated values
**Energy**: -0.3407 Ry per atom
**Formation energy without anion corrections**: -771.3 meV/atom
**SG**: Cc

***

(6)
Ba2PbCl: relaxed, PBE.

abc: 4.693 4.693 26.422
angles: 90.00 90.00 120.00
Sites, in units of the cell vectors:
Ba 0.000 0.000 0.000
Ba 0.000 0.000 0.172
Ba 0.333 0.667 0.667
Ba 0.333 0.667 0.839
Ba 0.667 0.333 0.333
Ba 0.667 0.333 0.505
Pb 0.000 0.000 0.420
Pb 0.333 0.667 0.087
Pb 0.667 0.333 0.753
Cl 0.000 0.000 0.591
Cl 0.333 0.667 0.258
Cl 0.667 0.333 0.925

Calculated values
**Energy**: -0.2547 Ry per atom
**ΔE to the lowest computed polymorph**: 0.113 eV per atom
**Formation energy without anion corrections**: -1114.9 meV/atom
**SG**: R3m

***

(7)
La3PtS: relaxed, PBE.

abc: 5.380 5.380 5.380
angles: 90.00 90.00 90.00
Sites, in units of the cell vectors:
La 0.000 0.000 0.500
La 0.000 0.500 0.000
La 0.500 0.000 0.000
Pt 0.500 0.500 0.500
S 0.000 0.000 0.000

Calculated values
**Energy**: -0.4200 Ry per atom
**ΔE to the lowest computed polymorph**: 0.000 eV per atom
**Formation energy without anion corrections**: -724.4 meV/atom
**SG**: Pm-3m

***

(8)
Na5CdSn: relaxed, PBE.

abc: 5.777 5.777 13.115
angles: 90.00 90.00 79.19
Sites, in units of the cell vectors:
Na 0.040 0.960 0.750
Na 0.134 0.458 0.607
Na 0.134 0.458 0.893
Na 0.458 0.134 0.107
Na 0.458 0.134 0.393
Na 0.542 0.866 0.607
Na 0.542 0.866 0.893
Na 0.866 0.542 0.107
Na 0.866 0.542 0.393
Na 0.960 0.040 0.250
Cd 0.384 0.616 0.250
Cd 0.616 0.384 0.750
Sn 0.000 0.000 0.000
Sn 0.000 0.000 0.500

Calculated values
**Energy**: -0.1261 Ry per atom
**DFT formation energy**: -0.070 eV per atom
**ΔE to the lowest computed polymorph**: 0.000 eV per atom
**SG**: Cmcm

***

(9)
La3Ce2SmSb6: relaxed, PBE.

abc: 7.894 7.894 7.905
angles: 99.58 99.58 119.99
Sites, in units of the cell vectors:
La 0.000 0.000 0.000
La 0.333 0.667 0.000
La 0.667 0.333 0.000
Ce 0.167 0.833 0.500
Ce 0.833 0.167 0.500
Sm 0.500 0.500 0.500
Sb 0.086 0.419 0.258
Sb 0.247 0.247 0.742
Sb 0.419 0.086 0.258
Sb 0.581 0.914 0.742
Sb 0.753 0.753 0.258
Sb 0.914 0.581 0.742

Calculated values
**Energy**: -0.4307 Ry per atom
**Formation energy without anion corrections**: -1184.3 meV/atom
**SG**: C2/m

***

(10)
Ca3Sn3Ir: relaxed, PBE.

abc: 6.100 6.100 15.362
angles: 107.43 107.43 44.42
Sites, in units of the cell vectors:
Ca 0.021 0.021 0.385
Ca 0.098 0.098 0.919
Ca 0.241 0.241 0.240
Ca 0.759 0.759 0.760
Ca 0.902 0.902 0.081
Ca 0.979 0.979 0.615
Sn 0.344 0.344 0.463
Sn 0.383 0.383 0.923
Sn 0.468 0.468 0.761
Sn 0.532 0.532 0.239
Sn 0.617 0.617 0.077
Sn 0.656 0.656 0.537
Ir 0.259 0.259 0.613
Ir 0.741 0.741 0.387

Calculated values
**Energy**: -0.3285 Ry per atom
**DFT formation energy**: -0.630 eV per atom
**SG**: C2/m